# LaErIn2 | the Alexandria database | PBE-GGA | relaxed
# - M_tot: 0.00 μB per atom
# - Energy of formation from the pure elements: -477.6 meV per atom
data_LaErIn2
_cell_length_a 7.688
_cell_length_b 7.688
_cell_length_c 7.688
_cell_angle_alpha 90.00
_cell_angle_beta 90.00
_cell_angle_gamma 90.00
_symmetry_space_group_name_H-M 'F m -3 m'
_symmetry_Int_Tables_number 225
_symmetry_space_group_name_Hall '-F 4 2 3'
loop_
_atom_site_label
_atom_site_type_symbol
_atom_site_fract_x
_atom_site_fract_y
_atom_site_fract_z
_atom_site_occupancy
La1 La 0.000 0.000 0.000 1
Er1 Er 0.000 0.000 0.500 1
In1 In 0.250 0.250 0.250 1